No. 1
This record from the Alexandria database describes a relaxed structure of LaCdH6Ru. The functional is PBE-GGA.

Results
The calculation puts the raw total energy at -4.159 eV/atom. The value obtained for the magnetization is 0.000 μB/cell. Its symmetry is P-6m2 (187).

Cell lengths 4.8408, 4.8409, 4.5616 Å; angles 90.00, 90.00, 60.00 degrees
Fractional coordinates of all 9 atoms:
La1 0.0000 0.0000 0.0000
Cd1 0.6666 0.6667 0.5000
H1 0.0521 0.4745 0.2239
H2 0.4744 0.0522 0.7761
H3 0.4735 0.4744 0.7761
H4 0.0522 0.4733 0.7761
H5 0.4745 0.4734 0.2239
H6 0.4732 0.0522 0.2239
Ru1 0.3333 0.3334 0.4999

***

No. 2
This record from the Alexandria database describes a relaxed structure of La2CdHRu. The functional is PBE-GGA.

Results
The calculation puts the raw total energy at -4.970 eV/atom. The value obtained for the magnetization is 0.000 μB/cell. Its symmetry is P4/mmm (123).

Cell lengths 5.3092, 5.3092, 3.8021 Å; angles 90.00, 90.00, 90.00 degrees
Fractional coordinates of all 5 atoms:
Ru1 0.0000 0.0000 0.5000
Cd1 0.5000 0.5000 0.5000
H1 0.0000 0.0000 0.0000
La1 0.0000 0.5000 0.0000
La2 0.5000 0.0000 0.0000

***

No. 3
This record from the Alexandria database describes a relaxed structure of LaSc2CdH. The functional is PBE-GGA.

Results
The calculation puts the raw total energy at -4.580 eV/atom. The value obtained for the magnetization is 0.002 μB/cell. Its symmetry is P4/mmm (123).

Cell lengths 4.7294, 4.7294, 4.7332 Å; angles 90.00, 90.00, 90.00 degrees
Fractional coordinates of all 5 atoms:
Sc1 0.0000 0.5000 0.0000
Sc2 0.5000 0.0000 0.0000
H1 0.0000 0.0000 0.0000
Cd1 0.5000 0.5000 0.5000
La1 0.0000 0.0000 0.5000